# 1
Here is Sc2MnBC after structural relaxation from Alexandria via LeMat-Bulk. Energies are from PBE.

a = 4.702 Å, b = 4.702 Å, c = 3.611 Å
α = 90.00°, β = 90.00°, γ = 90.00°
Fractional coordinates of all 5 atoms:
Sc (0.000, 0.500, 0.000)
Sc (0.500, 0.000, 0.000)
Mn (0.000, 0.000, 0.000)
B (0.500, 0.500, 0.500)
C (0.000, 0.000, 0.500)

Computed properties:
**Crystal system**: tetragonal
**Size of the total moment**: 0.178 μB/atom
**Space group**: P4/mmm
**Density of states at the Fermi level**: 4.51 states/eV per cell
**Formation enthalpy at 0 K**: 4.490 eV per formula unit

---

# 2
Here is MnSn2BC after structural relaxation from Alexandria via LeMat-Bulk. Energies are from PBE.

a = 4.613 Å, b = 4.613 Å, c = 3.801 Å
α = 90.00°, β = 90.00°, γ = 90.00°
Fractional coordinates of all 5 atoms:
Mn (0.000, 0.000, 0.000)
Sn (0.000, 0.500, 0.500)
Sn (0.500, 0.000, 0.500)
B (0.000, 0.000, 0.500)
C (0.500, 0.500, 0.000)

Computed properties:
**Crystal system**: tetragonal
**Size of the total moment**: 0.003 μB/atom
**Space group**: P4/mmm
**Density of states at the Fermi level**: 2.69 states/eV per cell
**Formation enthalpy at 0 K**: 8.062 eV per formula unit